GGA-PBE CeEuMgIn, optimized geometry; calculated total energy = -5.33 eV/atom; DOS(E_F) = 11.6 states/eV/f.u.; space group = F-43m; total magnetization = 8.38 μB per formula unit; formation energy = -0.199 eV/atom
1.0
-3.086 -1.653 -4.272
-1.051 -5.372 -0.732
-5.090 -1.961 0.865
Eu Mg Ce In
1 1 1 1
Cartesian
-2.307 -2.247 -1.035
-4.613 -4.493 -2.069
-6.920 -6.740 -3.104
0.000 0.000 0.000